Entry from the Alexandria database: a relaxed structure of MgAgPd6 (GGA-PBE).

extended XYZ file:
```
8
Lattice="5.297 0.000 0.000 2.648 4.587 0.000 2.648 1.529 6.958" Properties=species:S:1:pos:R:3 pbc="T T T"
Mg 0.000 0.000 0.000
Ag 5.297 3.058 3.479
Pd 9.255 5.343 4.806
Pd 6.635 5.343 4.806
Pd 2.648 3.041 2.152
Pd 3.958 0.773 2.152
Pd 1.339 0.773 2.152
Pd 7.945 3.075 4.806
```

The space group is No. 166. The energy relative to the elements comes out at 282.2 meV per atom. The relative energy among the computed polymorphs comes out at 0.520 eV per atom.